This record from Alexandria via LeMat-Bulk describes a relaxed BSb2Rh8 crystal. The functional is PBE.

Lattice parameters (Å, degrees): 7.316 7.316 5.722 112.74 112.74 35.83
Sites, in units of the cell vectors:
B (0.000, 0.000, 0.000)
Sb (0.318, 0.318, 0.319)
Sb (0.682, 0.682, 0.681)
Rh (0.108, 0.108, 0.380)
Rh (0.134, 0.134, 0.913)
Rh (0.315, 0.315, 0.779)
Rh (0.489, 0.489, 0.228)
Rh (0.511, 0.511, 0.772)
Rh (0.685, 0.685, 0.221)
Rh (0.866, 0.866, 0.087)
Rh (0.892, 0.892, 0.620)

**M_tot**: 0.000 μB per formula unit
**Density**: 10.92 g/cm3
**Space-group type**: C2/m (12)
**Formation energy (no corrections)**: -0.146 eV per atom
**Crystal system**: monoclinic